Lu3Al: relaxed, GGA-PBEsol.

Calculated values
D(E_F) in states/eV/f.u.: 4.262
Calculated total energy in eV per atom: -4.890
Total moment in μB per cell: 0.00

Cell lengths 5.162, 6.547, 6.547 Å; angles 120.00, 90.00, 90.00 degrees
Fractional positions:
Lu1 0.750 0.827 0.173
Lu2 0.750 0.827 0.655
Lu3 0.750 0.345 0.173
Lu4 0.250 0.173 0.827
Lu5 0.250 0.173 0.345
Lu6 0.250 0.655 0.827
Al1 0.250 0.667 0.333
Al2 0.750 0.333 0.667

---

TaBeCo2: relaxed, GGA-PBEsol.

Calculated values
D(E_F) in states/eV/f.u.: 1.885
Calculated total energy in eV per atom: -8.192
Total moment in μB per cell: 0.00

Cell lengths 3.434, 3.434, 4.553 Å; angles 112.15, 112.15, 90.00 degrees
Fractional positions:
Be1 0.250 0.750 0.500
Co1 0.000 0.000 0.000
Co2 0.750 0.250 0.500
Ta1 0.500 0.500 0.000